# 1
LaMn2CuSi at its PBEsol-relaxed geometry. Source: Alexandria, functional SCAN.

Cell lengths 4.520, 4.520, 4.402 Å; angles 90.00, 90.00, 90.00 degrees
Fractional positions:
1 La 0.000 0.000 0.000
2 Mn 0.000 0.500 0.500
3 Mn 0.500 0.000 0.500
4 Cu 0.500 0.500 0.000
5 Si 0.500 0.500 0.500

Values from the calculation:
- formation energy from raw total energies (meV/atom) = 10.7
- electronic total energy (Ha/atom) = -0.77010

***

# 2
La2MnCuSi at its PBEsol-relaxed geometry. Source: Alexandria, functional SCAN.

Cell lengths 5.092, 5.092, 4.396 Å; angles 90.00, 90.00, 90.00 degrees
Fractional positions:
1 La 0.000 0.500 0.000
2 La 0.500 0.000 0.000
3 Mn 0.000 0.000 0.000
4 Cu 0.500 0.500 0.500
5 Si 0.000 0.000 0.500

Values from the calculation:
- formation energy from raw total energies (meV/atom) = 20.8
- electronic total energy (Ha/atom) = -0.95237

***

# 3
LaCuMo at its PBEsol-relaxed geometry. Source: Alexandria, functional SCAN.

Cell lengths 2.912, 2.912, 7.504 Å; angles 90.00, 90.00, 120.00 degrees
Fractional positions:
1 La 0.000 0.000 0.000
2 Cu 0.667 0.333 0.359
3 Mo 0.333 0.667 0.628

Values from the calculation:
- energy relative to the lowest polymorph listed for this composition (eV/atom) = 0.0000
- calculated formation energy (meV per atom) = 785
- electronic total energy (Ha/atom) = -1.11270

***

# 4
La2CuMo at its PBEsol-relaxed geometry. Source: Alexandria, functional SCAN.

Cell lengths 5.005, 5.005, 3.556 Å; angles 90.00, 90.00, 90.00 degrees
Fractional positions:
1 La 0.000 0.500 0.000
2 La 0.500 0.000 0.000
3 Cu 0.000 0.000 0.500
4 Mo 0.500 0.500 0.500

Values from the calculation:
- energy relative to the lowest polymorph listed for this composition (eV/atom) = 0.0507
- calculated formation energy (meV per atom) = 343
- electronic total energy (Ha/atom) = -1.23958

***

# 5
La2CuMo at its PBEsol-relaxed geometry. Source: Alexandria, functional SCAN.

Cell lengths 3.483, 4.761, 5.519 Å; angles 90.00, 102.32, 90.00 degrees
Fractional positions:
1 La 0.000 0.000 0.000
2 La 0.170 0.500 0.553
3 Cu 0.644 0.000 0.425
4 Mo 0.683 0.500 0.107

Values from the calculation:
- energy relative to the lowest polymorph listed for this composition (eV/atom) = 0.0000
- calculated formation energy (meV per atom) = 292
- electronic total energy (Ha/atom) = -1.24144

***

# 6
LaCuMo2 at its PBEsol-relaxed geometry. Source: Alexandria, functional SCAN.

Cell lengths 3.912, 3.912, 4.734 Å; angles 90.00, 90.00, 90.00 degrees
Fractional positions:
1 La 0.000 0.000 0.000
2 Cu 0.500 0.500 0.000
3 Mo 0.000 0.500 0.500
4 Mo 0.500 0.000 0.500

Values from the calculation:
- energy relative to the lowest polymorph listed for this composition (eV/atom) = 0.2086
- calculated formation energy (meV per atom) = 726
- electronic total energy (Ha/atom) = -1.14998

***

# 7
LaCuMo2 at its PBEsol-relaxed geometry. Source: Alexandria, functional SCAN.

Cell lengths 9.713, 3.035, 4.948 Å; angles 90.00, 99.60, 90.00 degrees
Fractional positions:
1 La 0.000 0.000 0.000
2 La 0.500 0.500 0.000
3 Cu 0.000 0.500 0.500
4 Cu 0.500 0.000 0.500
5 Mo 0.220 0.000 0.686
6 Mo 0.280 0.500 0.314
7 Mo 0.720 0.500 0.686
8 Mo 0.780 0.000 0.314

Values from the calculation:
- energy relative to the lowest polymorph listed for this composition (eV/atom) = 0.0000
- calculated formation energy (meV per atom) = 517
- electronic total energy (Ha/atom) = -1.15765

***

# 8
LaCuMo at its PBEsol-relaxed geometry. Source: Alexandria, functional SCAN.

Cell lengths 6.403, 6.403, 6.403 Å; angles 90.00, 90.00, 90.00 degrees
Fractional positions:
1 La 0.000 0.000 0.000
2 La 0.000 0.500 0.500
3 La 0.500 0.000 0.500
4 La 0.500 0.500 0.000
5 Cu 0.250 0.250 0.250
6 Cu 0.250 0.750 0.750
7 Cu 0.750 0.250 0.750
8 Cu 0.750 0.750 0.250
9 Mo 0.250 0.250 0.750
10 Mo 0.250 0.750 0.250
11 Mo 0.750 0.250 0.250
12 Mo 0.750 0.750 0.750

Values from the calculation:
- energy relative to the lowest polymorph listed for this composition (eV/atom) = 0.5756
- calculated formation energy (meV per atom) = 1361
- electronic total energy (Ha/atom) = -1.09154

***

# 9
La4Cu3MoO12 at its PBEsol-relaxed geometry. Source: Alexandria, functional SCAN.

Cell lengths 6.861, 10.719, 7.896 Å; angles 90.00, 90.03, 90.00 degrees
Fractional positions:
1 La 0.238 0.000 0.130
2 La 0.238 0.500 0.130
3 La 0.249 0.005 0.621
4 La 0.249 0.495 0.621
5 La 0.751 0.505 0.379
6 La 0.751 0.995 0.379
7 La 0.762 0.000 0.870
8 La 0.762 0.500 0.870
9 Cu 0.114 0.750 0.842
10 Cu 0.116 0.750 0.411
11 Cu 0.456 0.250 0.364
12 Cu 0.544 0.750 0.636
13 Cu 0.884 0.250 0.589
14 Cu 0.886 0.250 0.158
15 Mo 0.421 0.250 0.879
16 Mo 0.579 0.750 0.121
17 O 0.084 0.582 0.871
18 O 0.084 0.918 0.871
19 O 0.086 0.583 0.379
20 O 0.086 0.917 0.379
21 O 0.264 0.750 0.627
22 O 0.288 0.250 0.680
23 O 0.289 0.250 0.080
24 O 0.313 0.750 0.123
25 O 0.417 0.083 0.373
26 O 0.417 0.417 0.373
27 O 0.420 0.074 0.878
28 O 0.420 0.426 0.878
29 O 0.580 0.574 0.122
30 O 0.580 0.926 0.122
31 O 0.583 0.583 0.627
32 O 0.583 0.917 0.627
33 O 0.687 0.250 0.877
34 O 0.711 0.750 0.920
35 O 0.712 0.750 0.320
36 O 0.736 0.250 0.373
37 O 0.914 0.083 0.621
38 O 0.914 0.417 0.621
39 O 0.916 0.082 0.129
40 O 0.916 0.418 0.129

Values from the calculation:
- formation energy from raw total energies (meV/atom) = -2615.2
- electronic total energy (Ha/atom) = -0.69821

***

# 10
LaZnCuMo2 at its PBEsol-relaxed geometry. Source: Alexandria, functional SCAN.

Cell lengths 4.689, 4.689, 4.388 Å; angles 90.00, 90.00, 90.00 degrees
Fractional positions:
1 La 0.000 0.000 0.000
2 Zn 0.500 0.500 0.000
3 Cu 0.500 0.500 0.500
4 Mo 0.000 0.500 0.500
5 Mo 0.500 0.000 0.500

Values from the calculation:
- calculated formation energy (meV per atom) = 898
- electronic total energy (Ha/atom) = -1.00766

***

# 11
LaCuNO2 at its PBEsol-relaxed geometry. Source: Alexandria, functional SCAN.

Cell lengths 4.339, 4.339, 4.855 Å; angles 90.00, 90.00, 90.00 degrees
Fractional positions:
1 La 0.000 0.000 0.000
2 Cu 0.500 0.500 0.500
3 N 0.000 0.000 0.500
4 O 0.000 0.500 0.000
5 O 0.500 0.000 0.000

Values from the calculation:
- formation energy from raw total energies (meV/atom) = -25.1
- electronic total energy (Ha/atom) = -0.58934

***

# 12
LaCuSN2 at its PBEsol-relaxed geometry. Source: Alexandria, functional SCAN.

Cell lengths 3.870, 3.870, 5.821 Å; angles 90.00, 90.00, 90.00 degrees
Fractional positions:
1 La 0.000 0.000 0.000
2 Cu 0.000 0.000 0.500
3 S 0.500 0.500 0.000
4 N 0.000 0.500 0.500
5 N 0.500 0.000 0.500

Values from the calculation:
- formation energy from raw total energies (meV/atom) = 294.9
- electronic total energy (Ha/atom) = -0.62503